Record 1
Entry from the Alexandria database: CaLa4Y after structural relaxation (PBEsol).

Summary:
The value obtained for the total magnetization is 0.00 μB/cell. Its space group is F-43m. The formation energy from the elements comes out at 207 meV/atom.

The structure in POSCAR format:
```
CaLa4Y
1.0
6.727 0.000 0.000
3.364 5.826 0.000
3.364 1.942 5.493
La Ca Y
4 1 1
direct
0.378 0.378 0.378 La
0.378 0.378 0.865 La
0.378 0.865 0.378 La
0.865 0.378 0.378 La
0.000 0.000 0.000 Ca
0.750 0.750 0.750 Y
```

Record 2
Entry from the Alexandria database: CaLa2Y after structural relaxation (PBEsol).

Summary:
The value obtained for the total magnetization is 0.00 μB/cell. Its space group is I4/mmm. The formation energy from the elements comes out at 100 meV/atom. The excess energy over the best structure of this formula in the dataset comes out at 0.18 eV per formula unit.

The structure in POSCAR format:
```
CaLa2Y
1.0
-2.750 -1.492 4.235
-2.614 -3.506 -2.933
6.136 -0.939 0.381
La Ca Y
2 1 1
direct
0.250 0.750 0.500 La
0.750 0.250 0.500 La
0.000 0.000 0.000 Ca
0.500 0.500 0.000 Y
```

Record 3
Entry from the Alexandria database: Ca2LaY after structural relaxation (PBEsol).

Summary:
The value obtained for the total magnetization is 0.00 μB/cell. Its space group is P4mm. The formation energy from the elements comes out at 49 meV/atom. The excess energy over the best structure of this formula in the dataset comes out at 0.00 eV per formula unit.

The structure in POSCAR format:
```
Ca2LaY
1.0
3.704 0.000 0.000
0.000 3.704 0.000
0.000 0.000 10.560
Ca La Y
2 1 1
direct
0.000 0.000 0.986 Ca
0.500 0.500 0.258 Ca
0.000 0.000 0.519 La
0.500 0.500 0.738 Y
```

Record 4
Entry from the Alexandria database: CaLa2Y after structural relaxation (PBEsol).

Summary:
The value obtained for the total magnetization is 0.00 μB/cell. Its space group is Pmm2. The formation energy from the elements comes out at 70 meV/atom. The excess energy over the best structure of this formula in the dataset comes out at 0.06 eV per formula unit.

The structure in POSCAR format:
```
CaLa2Y
1.0
3.613 0.000 0.020
0.000 5.209 0.000
-0.041 0.000 7.317
La Y Ca
2 1 1
direct
0.500 0.500 0.246 La
0.000 0.000 0.020 La
0.000 0.000 0.488 Y
0.500 0.500 0.746 Ca
```